A relaxed Ho2AlVO6 crystal, computed with PBE+U.

a = 5.2540 Å, b = 5.5367 Å, c = 7.5457 Å
α = 90.00°, β = 90.06°, γ = 90.00°
Closest atoms and distances in Å follow each position.
Atoms (fractional coordinates):
Al (0.5000, 0.0000, 0.5000)  6 O 1.92-1.94
O (0.6072, 0.0348, 0.2577)  1 Al 1.92, 1 V 2.03
O (0.7970, 0.8075, 0.5535)  1 Al 1.93, 1 V 2.05
O (0.2970, 0.6925, 0.0535)  1 Al 1.93, 1 V 2.05
O (0.7030, 0.3075, 0.9465)  1 Al 1.93, 1 V 2.05
Ho (0.5193, 0.5662, 0.7493)  6 O 2.24-2.47
Ho (0.9807, 0.0662, 0.7507)  6 O 2.24-2.47
O (0.8928, 0.5348, 0.2423)  1 Al 1.92, 1 V 2.03
O (0.2030, 0.1925, 0.4465)  1 Al 1.93, 1 V 2.05
Ho (0.0193, 0.9338, 0.2493)  6 O 2.24-2.47
V (0.0000, 0.5000, 0.5000)  6 O 2.03-2.06
O (0.3139, 0.7079, 0.4433)  1 Al 1.94, 1 V 2.06
O (0.6861, 0.2921, 0.5567)  1 Al 1.94, 1 V 2.06
Al (0.0000, 0.5000, 0.0000)  6 O 1.92-1.94
O (0.1861, 0.2079, 0.0567)  1 Al 1.94, 1 V 2.06
Ho (0.4807, 0.4338, 0.2507)  6 O 2.24-2.47
O (0.1072, 0.4652, 0.7577)  1 Al 1.92, 1 V 2.03
O (0.8139, 0.7921, 0.9433)  1 Al 1.94, 1 V 2.06
V (0.5000, 0.0000, 0.0000)  6 O 2.03-2.06
O (0.3928, 0.9652, 0.7423)  1 Al 1.92, 1 V 2.03

Results
Electronic total energy = -0.5960 Ry/atom
Space group = No. 14